*i*
Material: Mg2CrIr
Method: DFT, meta-GGA SCAN
State: single point on PBEsol structure

## Properties
- crystal system = tetragonal
- density (g cm⁻³) = 7.75

Unit cell a=3.9911 b=3.9911 c=7.8809 alpha=90.00 beta=90.00 gamma=90.00
Last column: nearest neighbours and their distance in Å.
Space group I4/mmm (No. 139)
One atom of each set of equivalent atoms:
1 Mg 0.0000 0.5000 0.2500  4 Ir 2.80, 4 Cr 2.80, 4 Mg 2.82
2 Cr 0.0000 0.0000 0.0000  8 Mg 2.80, 4 Ir 2.82
3 Ir 0.0000 0.0000 0.5000  8 Mg 2.80, 4 Cr 2.82

=====

*ii*
Material: Mg2CrIr
Method: DFT, meta-GGA SCAN
State: single point on PBEsol structure

## Properties
- crystal system = orthorhombic
- density (g cm⁻³) = 7.83

Unit cell a=3.1289 b=4.4920 c=8.8418 alpha=90.00 beta=90.00 gamma=90.00
Last column: nearest neighbours and their distance in Å.
Space group Immm (No. 71)
One atom of each set of equivalent atoms:
1 Mg 0.0000 0.0000 0.2410  2 Ir 2.64, 4 Mg 2.74, 2 Cr 2.77
2 Cr 0.0000 0.5000 0.0000  4 Ir 2.74, 4 Mg 2.77
3 Ir 0.0000 0.5000 0.5000  4 Mg 2.64, 4 Cr 2.74

=====

Verdict on stability: *ii* comes out at the bottom.

=====

*i*
Material: MnCrIr2
Method: DFT, meta-GGA SCAN
State: single point on PBEsol structure

## Properties
- crystal system = monoclinic
- density (g cm⁻³) = 16.19

Unit cell a=8.6607 b=2.6383 c=4.4952 alpha=90.00 beta=101.08 gamma=90.00
Last column: nearest neighbours and their distance in Å.
Space group Cm (No. 8)
One atom of each set of equivalent atoms:
1 Mn 0.0000 0.0000 0.0000  7 Ir 2.55-2.66, 3 Cr 2.56-2.68, 2 Mn 2.64
2 Cr 0.2558 0.0000 0.7476  7 Ir 2.54-2.67, 3 Mn 2.56-2.68, 2 Cr 2.64
3 Ir 0.0061 0.5000 0.5165  4 Mn 2.55-2.66, 3 Cr 2.58, 5 Ir 2.64-2.70
4 Ir 0.2487 0.5000 0.2277  4 Cr 2.54-2.67, 3 Mn 2.57-2.58, 5 Ir 2.64-2.70

=====

*ii*
Material: MnCrIr2
Method: DFT, meta-GGA SCAN
State: single point on PBEsol structure

## Properties
- crystal system = orthorhombic
- density (g cm⁻³) = 16.07

Unit cell a=5.2936 b=7.2448 c=2.6474 alpha=90.00 beta=90.00 gamma=90.00
Last column: nearest neighbours and their distance in Å.
Space group Cmmm (No. 65)
One atom of each set of equivalent atoms:
1 Mn 0.0000 0.0000 0.0000  8 Ir 2.60, 2 Cr 2.65, 2 Mn 2.65
2 Cr 0.0000 0.5000 0.0000  8 Ir 2.60, 2 Mn 2.65, 2 Cr 2.65
3 Ir 0.2500 0.2500 0.5000  4 Cr 2.60, 4 Mn 2.60, 4 Ir 2.65

=====

*iii*
Material: MnCrIr2
Method: DFT, meta-GGA SCAN
State: single point on PBEsol structure

## Properties
- crystal system = tetragonal
- density (g cm⁻³) = 15.88

Unit cell a=3.7601 b=3.7601 c=3.6333 alpha=90.00 beta=90.00 gamma=90.00
Last column: nearest neighbours and their distance in Å.
Space group P4/mmm (No. 123)
One atom of each set of equivalent atoms:
1 Mn 0.0000 0.0000 0.0000  8 Ir 2.61, 4 Cr 2.66
2 Cr 0.5000 0.5000 0.0000  8 Ir 2.61, 4 Mn 2.66
3 Ir 0.0000 0.5000 0.5000  4 Cr 2.61, 4 Mn 2.61, 4 Ir 2.66

=====

*iv*
Material: MnCrIr2
Method: DFT, meta-GGA SCAN
State: single point on PBEsol structure

## Properties
- crystal system = tetragonal
- density (g cm⁻³) = 16.05

Unit cell a=3.7482 b=3.7482 c=7.2378 alpha=90.00 beta=90.00 gamma=90.00
Last column: nearest neighbours and their distance in Å.
Space group I4/mmm (No. 139)
One atom of each set of equivalent atoms:
1 Mn 0.0000 0.0000 0.0000  8 Ir 2.61, 4 Cr 2.65
2 Cr 0.0000 0.0000 0.5000  8 Ir 2.61, 4 Mn 2.65
3 Ir 0.0000 0.5000 0.2500  4 Cr 2.61, 4 Mn 2.61, 4 Ir 2.65

=====

Verdict on stability: *i* comes out at the bottom.

=====

*i*
Material: CrMoIr2
Method: DFT, meta-GGA SCAN
State: single point on PBEsol structure

## Properties
- crystal system = tetragonal
- density (g cm⁻³) = 16.17

Unit cell a=3.8001 b=3.8001 c=7.5703 alpha=90.00 beta=90.00 gamma=90.00
Last column: nearest neighbours and their distance in Å.
Space group I4/mmm (No. 139)
One atom of each set of equivalent atoms:
1 Cr 0.0000 0.0000 0.0000  8 Ir 2.68, 4 Mo 2.69
2 Mo 0.0000 0.0000 0.5000  8 Ir 2.68, 4 Cr 2.69
3 Ir 0.0000 0.5000 0.2500  4 Cr 2.68, 4 Mo 2.68, 4 Ir 2.69

=====

*ii*
Material: CrMoIr2
Method: DFT, meta-GGA SCAN
State: single point on PBEsol structure

## Properties
- crystal system = tetragonal
- density (g cm⁻³) = 16.23

Unit cell a=2.6892 b=2.6892 c=7.5302 alpha=90.00 beta=90.00 gamma=90.00
Last column: nearest neighbours and their distance in Å.
Space group P4/mmm (No. 123)
One atom of each set of equivalent atoms:
1 Cr 0.0000 0.0000 0.0000  8 Ir 2.60, 4 Cr 2.69
2 Mo 0.0000 0.0000 0.5000  4 Mo 2.69, 8 Ir 2.76
3 Ir 0.5000 0.5000 0.2353  4 Cr 2.60, 4 Ir 2.69, 4 Mo 2.76

=====

*iii*
Material: CrMoIr2
Method: DFT, meta-GGA SCAN
State: single point on PBEsol structure

## Properties
- crystal system = orthorhombic
- density (g cm⁻³) = 16.18

Unit cell a=2.7082 b=4.2960 c=4.6955 alpha=90.00 beta=90.00 gamma=90.00
Last column: nearest neighbours and their distance in Å.
Space group Pmm2 (No. 25)
One atom of each set of equivalent atoms:
1 Cr 0.0000 0.0000 0.0000  8 Ir 2.63-2.72, 2 Mo 2.66, 2 Cr 2.71
2 Mo 0.0000 0.5000 0.3335  8 Ir 2.64-2.78, 2 Cr 2.66, 2 Mo 2.71
3 Ir 0.5000 0.0000 0.4978  4 Mo 2.65, 4 Cr 2.70-2.72, 4 Ir 2.71-2.72
4 Ir 0.5000 0.5000 0.8518  4 Cr 2.63, 4 Mo 2.64-2.78, 4 Ir 2.71-2.72

=====

Verdict on stability: *ii* comes out at the bottom.

=====

*i*
Material: CrMoIr2
Method: DFT, meta-GGA SCAN
State: single point on PBEsol structure

## Properties
- crystal system = orthorhombic
- density (g cm⁻³) = 16.17

Unit cell a=2.6956 b=3.7663 c=5.3847 alpha=90.00 beta=90.00 gamma=90.00
Last column: nearest neighbours and their distance in Å.
Space group Pmmm (No. 47)
One atom of each set of equivalent atoms:
1 Cr 0.0000 0.0000 0.0000  8 Ir 2.66, 2 Mo 2.69, 2 Cr 2.70
2 Mo 0.0000 0.0000 0.5000  2 Cr 2.69, 2 Mo 2.70, 8 Ir 2.70
3 Ir 0.5000 0.5000 0.2414  4 Ir 2.60-2.78, 4 Cr 2.66, 4 Mo 2.70

=====

*ii*
Material: CrMoIr2
Method: DFT, meta-GGA SCAN
State: single point on PBEsol structure

## Properties
- crystal system = trigonal
- density (g cm⁻³) = 16.11

Unit cell a=2.6917 b=2.6917 c=26.2418 alpha=90.00 beta=90.00 gamma=120.00
Last column: nearest neighbours and their distance in Å.
Space group R-3m (No. 166, hexagonal axes)
One atom of each set of equivalent atoms:
1 Cr 0.0000 0.0000 0.0000  6 Ir 2.60, 6 Cr 2.69
2 Mo 0.0000 0.0000 0.5000  6 Mo 2.69, 6 Ir 2.77
3 Ir 0.0000 0.0000 0.2539  3 Cr 2.60, 6 Ir 2.69, 3 Mo 2.77

=====

*iii*
Material: CrMoIr2
Method: DFT, meta-GGA SCAN
State: single point on PBEsol structure

## Properties
- crystal system = orthorhombic
- density (g cm⁻³) = 16.14

Unit cell a=5.3693 b=7.5648 c=2.6963 alpha=90.00 beta=90.00 gamma=90.00
Last column: nearest neighbours and their distance in Å.
Space group Cmmm (No. 65)
One atom of each set of equivalent atoms:
1 Cr 0.0000 0.0000 0.0000  8 Ir 2.68, 2 Mo 2.68, 2 Cr 2.70
2 Mo 0.0000 0.5000 0.0000  8 Ir 2.68, 2 Cr 2.68, 2 Mo 2.70
3 Ir 0.2500 0.2500 0.5000  4 Cr 2.68, 4 Mo 2.68, 4 Ir 2.68-2.70

=====

Verdict on stability: *ii* comes out at the bottom.

=====

*i*
Material: CrMoIr
Method: DFT, meta-GGA SCAN
State: single point on PBEsol structure

## Properties
- crystal system = trigonal
- density (g cm⁻³) = 13.71

Unit cell a=2.6765 b=2.6765 c=6.6433 alpha=90.00 beta=90.00 gamma=120.00
Last column: nearest neighbours and their distance in Å.
Space group P3m1 (No. 156)
One atom of each set of equivalent atoms:
1 Cr 0.0000 0.0000 0.0000  3 Ir 2.55, 6 Cr 2.68, 3 Mo 2.74
2 Mo 0.6667 0.3333 0.3405  6 Mo 2.68, 3 Cr 2.74, 3 Ir 2.81
3 Ir 0.3333 0.6667 0.6938  3 Cr 2.55, 6 Ir 2.68, 3 Mo 2.81

=====

*ii*
Material: CrMoIr
Method: DFT, meta-GGA SCAN
State: single point on PBEsol structure

## Properties
- crystal system = cubic
- density (g cm⁻³) = 11.14

Unit cell a=5.8748 b=5.8748 c=5.8748 alpha=90.00 beta=90.00 gamma=90.00
Last column: nearest neighbours and their distance in Å.
Space group F-43m (No. 216)
One atom of each set of equivalent atoms:
1 Cr 0.0000 0.0000 0.0000  4 Ir 2.54
2 Mo 0.0000 0.0000 0.5000  4 Ir 2.54
3 Ir 0.2500 0.2500 0.7500  4 Cr 2.54, 4 Mo 2.54

=====

Verdict on stability: *ii* comes out at the bottom.

=====

*i*
Material: Cr2IrOs
Method: DFT, meta-GGA SCAN
State: single point on PBEsol structure

## Properties
- crystal system = orthorhombic
- density (g cm⁻³) = 15.94

Unit cell a=3.9560 b=2.6521 c=9.6591 alpha=90.00 beta=90.00 gamma=90.00
Last column: nearest neighbours and their distance in Å.
Space group Amm2 (No. 38)
One atom of each set of equivalent atoms:
1 Cr 0.0000 0.0000 0.0000  2 Cr 2.31, 1 Os 2.58
2 Cr 0.5000 0.0000 0.1228  2 Cr 2.31, 1 Ir 2.57
3 Ir 0.5000 0.0000 0.3892  7 Cr 2.57-2.62, 2 Ir 2.65, 4 Os 2.82
4 Os 0.0000 0.0000 0.7327  7 Cr 2.58-2.61, 2 Os 2.65, 4 Ir 2.82

=====

*ii*
Material: Cr2IrOs
Method: DFT, meta-GGA SCAN
State: single point on PBEsol structure

## Properties
- crystal system = orthorhombic
- density (g cm⁻³) = 15.84

Unit cell a=5.2968 b=7.2924 c=2.6408 alpha=90.00 beta=90.00 gamma=90.00
Last column: nearest neighbours and their distance in Å.
Space group Cmmm (No. 65)
One atom of each set of equivalent atoms:
1 Cr 0.2500 0.2500 0.0000  4 Os 2.61, 4 Ir 2.61, 4 Cr 2.64-2.65
2 Ir 0.0000 0.0000 0.5000  8 Cr 2.61, 2 Ir 2.64, 2 Os 2.65
3 Os 0.0000 0.5000 0.5000  8 Cr 2.61, 2 Os 2.64, 2 Ir 2.65

=====

*iii*
Material: Cr2IrOs
Method: DFT, meta-GGA SCAN
State: single point on PBEsol structure

## Properties
- crystal system = tetragonal
- density (g cm⁻³) = 15.85

Unit cell a=3.7401 b=3.7401 c=7.2884 alpha=90.00 beta=90.00 gamma=90.00
Last column: nearest neighbours and their distance in Å.
Space group I4/mmm (No. 139)
One atom of each set of equivalent atoms:
1 Cr 0.0000 0.5000 0.2500  4 Os 2.61, 4 Ir 2.61, 4 Cr 2.64
2 Ir 0.0000 0.0000 0.0000  8 Cr 2.61, 4 Os 2.64
3 Os 0.0000 0.0000 0.5000  8 Cr 2.61, 4 Ir 2.64

=====

Verdict on stability: *i* comes out at the bottom.